The following is a SCAN calculation of a PBEsol-optimized structure of Sc2TlCd, from Alexandria.

Output
Its calculated formation energy is -44.1 kJ per mole of atoms. The density of states at the Fermi level comes out at 3.07 states/eV/cell. The space group is Pmmm.

Cell lengths 3.5138, 3.5244, 6.9668 Å; angles 90.00, 90.00, 90.00 degrees
Last column: nearest neighbours and their distance in Å.
Sites, in units of the cell vectors:
1 Cd 0.5000 0.5000 0.5000  8 Sc 3.01
2 Sc 0.0000 0.0000 0.7443  4 Cd 3.01, 4 Tl 3.06
3 Sc 0.0000 0.0000 0.2557  4 Cd 3.01, 4 Tl 3.06
4 Tl 0.5000 0.5000 0.0000  8 Sc 3.06

The following is a SCAN calculation of a PBEsol-optimized structure of Sc2TlCd, from Alexandria.

Output
Its calculated formation energy is -44.5 kJ per mole of atoms. The density of states at the Fermi level comes out at 3.20 states/eV/cell. The space group is P4/mmm.

Cell lengths 3.5347, 4.9393, 4.9393 Å; angles 90.00, 90.00, 90.00 degrees
Last column: nearest neighbours and their distance in Å.
Sites, in units of the cell vectors:
1 Sc 0.0000 0.0000 0.1247  4 Tl 3.04, 4 Cd 3.04
2 Sc 0.0000 0.5000 0.6253  4 Cd 3.04, 4 Tl 3.04
3 Tl 0.5000 0.0000 0.6246  8 Sc 3.04
4 Cd 0.5000 0.5000 0.1254  8 Sc 3.04

The following is a SCAN calculation of a PBEsol-optimized structure of Sc2TlCd2, from Alexandria.

Output
Its calculated formation energy is -2.5 kJ per mole of atoms. The density of states at the Fermi level comes out at 5.09 states/eV/cell. The space group is I4/mmm.

Cell lengths 3.8886, 3.8886, 8.3881 Å; angles 103.40, 103.40, 90.00 degrees
Last column: nearest neighbours and their distance in Å.
Sites, in units of the cell vectors:
1 Sc 0.4046 0.4046 0.8091  1 Sc 3.03, 4 Cd 3.13, 4 Tl 3.14
2 Sc 0.5954 0.5954 0.1909  1 Sc 3.03, 4 Cd 3.13, 4 Tl 3.14
3 Cd 0.2500 0.7500 0.5000  4 Cd 2.75
4 Cd 0.7500 0.2500 0.5000  4 Cd 2.75
5 Tl 0.0000 0.0000 0.0000  8 Sc 3.14

The following is a SCAN calculation of a PBEsol-optimized structure of ScCd2W, from Alexandria.

Output
Its calculated formation energy is 30.9 kJ per mole of atoms. The density of states at the Fermi level comes out at 2.80 states/eV/cell. The space group is C2/m.

Cell lengths 2.8568, 5.1520, 5.3023 Å; angles 97.87, 105.63, 90.00 degrees
Last column: nearest neighbours and their distance in Å.
Sites, in units of the cell vectors:
1 Sc 0.5000 0.0000 0.0000  2 Sc 2.86, 4 W 2.95, 6 Cd 3.00-3.10
2 W 0.0000 0.5000 0.0000  2 W 2.86, 4 Sc 2.95, 6 Cd 2.99-3.04
3 Cd 0.7451 0.7417 0.4901  6 Cd 2.86-3.01, 3 W 2.99-3.04, 3 Sc 3.00-3.10
4 Cd 0.2549 0.2583 0.5099  6 Cd 2.86-3.01, 3 W 2.99-3.04, 3 Sc 3.00-3.10

The following is a SCAN calculation of a PBEsol-optimized structure of ScCdW2, from Alexandria.

Output
Its calculated formation energy is 43.9 kJ per mole of atoms. The density of states at the Fermi level comes out at 2.41 states/eV/cell. The space group is C2/m.

Cell lengths 2.9456, 4.8369, 5.2062 Å; angles 99.99, 106.43, 90.00 degrees
Last column: nearest neighbours and their distance in Å.
Sites, in units of the cell vectors:
1 W 0.2458 0.2535 0.4916  6 W 2.79-2.95, 3 Sc 2.92-2.99, 3 Cd 2.93-3.01
2 W 0.7542 0.7465 0.5084  6 W 2.79-2.95, 3 Sc 2.92-2.99, 3 Cd 2.93-3.01
3 Cd 0.5000 0.0000 0.0000  4 Sc 2.83, 6 W 2.93-3.01, 2 Cd 2.95
4 Sc 0.0000 0.5000 0.0000  4 Cd 2.83, 6 W 2.92-2.99, 2 Sc 2.95

The following is a SCAN calculation of a PBEsol-optimized structure of ScCd3W, from Alexandria.

Output
Its calculated formation energy is 108.2 kJ per mole of atoms. The density of states at the Fermi level comes out at 4.76 states/eV/cell. The space group is Pm-3m.

Cell lengths 5.0986, 5.0986, 5.0986 Å; angles 90.00, 90.00, 90.00 degrees
Last column: nearest neighbours and their distance in Å.
Sites, in units of the cell vectors:
1 Cd 0.0000 0.5000 0.0000  2 W 2.55
2 Cd 0.0000 0.0000 0.5000  2 W 2.55
3 Cd 0.5000 0.0000 0.0000  2 W 2.55
4 Sc 0.5000 0.5000 0.5000  12 Cd 3.61
5 W 0.0000 0.0000 0.0000  6 Cd 2.55

The following is a SCAN calculation of a PBEsol-optimized structure of ScCdW2, from Alexandria.

Output
Its calculated formation energy is 23.2 kJ per mole of atoms. The density of states at the Fermi level comes out at 3.71 states/eV/cell. The space group is Cmm2.

Cell lengths 2.8117, 2.8117, 9.4213 Å; angles 90.00, 90.00, 108.95 degrees
Last column: nearest neighbours and their distance in Å.
Sites, in units of the cell vectors:
1 W 0.0000 0.0000 0.9895  6 W 2.65-2.81, 2 Sc 2.83
2 W 0.5000 0.5000 0.7674  6 W 2.65-2.81, 2 Cd 2.94
3 Sc 0.5000 0.5000 0.2348  4 Sc 2.81, 2 W 2.83, 2 Cd 3.05
4 Cd 0.0000 0.0000 0.5084  4 Cd 2.81, 2 W 2.94, 2 Sc 3.05

The following is a SCAN calculation of a PBEsol-optimized structure of ScCdW2, from Alexandria.

Output
Its calculated formation energy is 40.6 kJ per mole of atoms. The density of states at the Fermi level comes out at 4.06 states/eV/cell. The space group is Pmm2.

Cell lengths 2.7599, 4.2069, 6.0540 Å; angles 90.00, 90.00, 90.00 degrees
Last column: nearest neighbours and their distance in Å.
Sites, in units of the cell vectors:
1 W 0.5000 0.5000 0.2308  6 W 2.76-2.83, 1 Sc 2.89, 4 Cd 2.99
2 W 0.0000 0.0000 0.0175  6 W 2.76-2.83, 1 Cd 2.91, 4 Sc 2.98
3 Cd 0.0000 0.0000 0.4988  2 Cd 2.76, 5 W 2.91-2.99, 4 Sc 2.95
4 Sc 0.5000 0.5000 0.7529  2 Sc 2.76, 5 W 2.89-2.98, 4 Cd 2.95

The following is a SCAN calculation of a PBEsol-optimized structure of YScCd4, from Alexandria.

Output
Its calculated formation energy is -32.3 kJ per mole of atoms. The density of states at the Fermi level comes out at 4.49 states/eV/cell. The space group is F-43m.

Cell lengths 5.7179, 5.7179, 5.7179 Å; angles 60.00, 60.00, 60.00 degrees
Last column: nearest neighbours and their distance in Å.
Sites, in units of the cell vectors:
1 Y 0.0000 0.0000 0.0000  12 Cd 3.35, 4 Sc 3.50
2 Cd 0.3752 0.3752 0.3752  6 Cd 2.86
3 Cd 0.3752 0.3752 0.8745  6 Cd 2.86
4 Cd 0.8745 0.3752 0.3752  6 Cd 2.86
5 Cd 0.3752 0.8745 0.3752  6 Cd 2.86
6 Sc 0.7500 0.7500 0.7500  12 Cd 3.35, 4 Y 3.50

The following is a SCAN calculation of a PBEsol-optimized structure of YSc2Cd, from Alexandria.

Output
Its calculated formation energy is -17.6 kJ per mole of atoms. The density of states at the Fermi level comes out at 3.12 states/eV/cell. The space group is Imm2.

Cell lengths 3.6481, 4.9696, 6.1363 Å; angles 113.89, 107.29, 90.00 degrees
Last column: nearest neighbours and their distance in Å.
Sites, in units of the cell vectors:
1 Y 0.5201 0.5201 0.0402  2 Cd 3.12, 8 Sc 3.12-3.45
2 Sc 0.7462 0.2462 0.4925  4 Cd 3.09, 2 Sc 3.41, 4 Y 3.43-3.45
3 Sc 0.9752 0.9752 0.9505  2 Cd 2.94, 4 Y 3.12
4 Cd 0.2584 0.7584 0.5169  6 Sc 2.94-3.09, 2 Y 3.12

The following is a SCAN calculation of a PBEsol-optimized structure of YSc2Cd, from Alexandria.

Output
Its calculated formation energy is -17.5 kJ per mole of atoms. The density of states at the Fermi level comes out at 3.60 states/eV/cell. The space group is P4mm.

Cell lengths 3.3583, 3.3583, 8.5854 Å; angles 90.00, 90.00, 90.00 degrees
Last column: nearest neighbours and their distance in Å.
Sites, in units of the cell vectors:
1 Y 0.0000 0.0000 0.5109  4 Cd 3.23, 4 Sc 3.35, 4 Y 3.36
2 Cd 0.5000 0.5000 0.7667  4 Sc 3.04, 4 Y 3.23, 4 Cd 3.36
3 Sc 0.5000 0.5000 0.2350  8 Sc 3.19-3.36, 4 Y 3.35
4 Sc 0.0000 0.0000 0.9873  4 Cd 3.04, 8 Sc 3.19-3.36

The following is a SCAN calculation of a PBEsol-optimized structure of YSc2Cd, from Alexandria.

Output
Its calculated formation energy is -13.8 kJ per mole of atoms. The density of states at the Fermi level comes out at 4.13 states/eV/cell. The space group is Pmm2.

Cell lengths 3.3670, 4.4297, 6.4435 Å; angles 90.00, 90.00, 90.00 degrees
Last column: nearest neighbours and their distance in Å.
Sites, in units of the cell vectors:
1 Sc 0.0000 0.0000 0.0017  6 Sc 3.15-3.37, 2 Y 3.18-3.26, 4 Cd 3.19
2 Sc 0.5000 0.5000 0.2307  1 Cd 3.03, 6 Sc 3.15-3.37, 4 Y 3.31
3 Cd 0.5000 0.5000 0.7598  5 Sc 3.03-3.19, 4 Y 3.22, 2 Cd 3.37
4 Y 0.0000 0.0000 0.5078  6 Sc 3.18-3.31, 4 Cd 3.22, 2 Y 3.37

Table of spin magnetization (μB/atom), in record order: 0.107 0.100 0.181 0.000 0.000 0.000 0.000 0.000 0.069 0.000 0.336 0.180
Table of electronic total energy (eV per atom), in record order: -33.2689 -33.2729 -32.3586 -35.8678 -45.5517 -33.9125 -45.7660 -45.5864 -27.6242 -21.8653 -21.8640 -21.8256